(1)
# CsPdBr3

An optimized crystal structure of CsPdBr3 (PBE, Alexandria).

Cell lengths 10.7973, 10.7973, 9.5373 Å; angles 116.07, 116.07, 55.40 degrees
With the nearest neighbours (Å) after each atom.
Fractional coordinates of all 20 atoms:
Cs1 0.1974 0.2543 0.2246  7 Br 3.66-3.99
Cs2 0.2543 0.1974 0.7246  7 Br 3.66-3.99
Cs3 0.7457 0.8026 0.2754  7 Br 3.66-3.99
Cs4 0.8026 0.7457 0.7754  7 Br 3.66-3.99
Pd1 0.2539 0.7461 0.2500  4 Br 2.47-2.50
Pd2 0.2548 0.7452 0.7500  4 Br 2.47-2.50
Pd3 0.7452 0.2548 0.2500  4 Br 2.47-2.50
Pd4 0.7461 0.2539 0.7500  4 Br 2.47-2.50
Br1 0.1011 0.6054 0.1457  1 Pd 2.47
Br2 0.1026 0.6039 0.5622  1 Pd 2.47
Br3 0.2429 0.6730 0.9582  2 Pd 2.50
Br4 0.3270 0.7571 0.5418  2 Pd 2.50
Br5 0.3946 0.8989 0.3543  1 Pd 2.47
Br6 0.3961 0.8974 0.9378  1 Pd 2.47
Br7 0.6039 0.1026 0.0622  1 Pd 2.47
Br8 0.6054 0.1011 0.6457  1 Pd 2.47
Br9 0.6730 0.2429 0.4582  2 Pd 2.50
Br10 0.7571 0.3270 0.0418  2 Pd 2.50
Br11 0.8974 0.3961 0.4378  1 Pd 2.47
Br12 0.8989 0.3946 0.8543  1 Pd 2.47

Results
Symmetry: C2/c (15)
Energy relative to the elements, uncorrected: -857 meV per atom
Energy: -3.070 eV per atom



(2)
# CuHgMo

An optimized crystal structure of CuHgMo (PBE, Alexandria).

Cell lengths 4.2470, 4.2470, 4.2470 Å; angles 60.00, 60.00, 60.00 degrees
With the nearest neighbours (Å) after each atom.
Fractional coordinates of all 3 atoms:
Cu1 0.0000 0.0000 0.0000  4 Hg 2.60, 4 Mo 2.60
Hg1 0.7500 0.7500 0.7500  4 Cu 2.60
Mo1 0.2500 0.2500 0.2500  4 Cu 2.60

Results
Symmetry: F-43m (216)
Relative energy among the computed polymorphs: 431.5 meV/atom
Energy: -4.225 eV per atom



(3)
# CdTc2Ru

An optimized crystal structure of CdTc2Ru (PBE, Alexandria).

Cell lengths 4.7942, 2.8011, 4.9121 Å; angles 90.00, 109.76, 90.00 degrees
With the nearest neighbours (Å) after each atom.
Fractional coordinates of all 4 atoms:
Cd1 0.0000 0.0000 0.0000  4 Ru 2.78, 6 Tc 2.79-2.83, 2 Cd 2.80
Tc1 0.0000 0.5000 0.5000  6 Tc 2.78-2.80, 2 Ru 2.79, 4 Cd 2.83
Tc2 0.5000 0.0000 0.5000  6 Tc 2.78-2.80, 2 Cd 2.79, 4 Ru 2.83
Ru1 0.5000 0.5000 0.0000  4 Cd 2.78, 6 Tc 2.79-2.83, 2 Ru 2.80

Results
Symmetry: P2/m (10)
Energy: -7.251 eV per atom



(4)
# AcNd3Sm2S6

An optimized crystal structure of AcNd3Sm2S6 (PBE, Alexandria).

Cell lengths 7.0966, 7.0966, 7.0793 Å; angles 99.64, 99.64, 120.13 degrees
With the nearest neighbours (Å) after each atom.
Fractional coordinates of all 12 atoms:
Ac1 0.0000 0.0000 0.0000  6 S 2.95-2.96
Nd1 0.1636 0.8364 0.5000  6 S 2.85-2.92
Nd2 0.5000 0.5000 0.5000  6 S 2.84-2.91
Nd3 0.8364 0.1636 0.5000  6 S 2.85-2.92
Sm1 0.3328 0.6672 0.0000  6 S 2.86-2.87
Sm2 0.6672 0.3328 0.0000  6 S 2.86-2.87
S1 0.0844 0.4281 0.2523  3 Nd 2.85-2.92, 2 Sm 2.87, 1 Ac 2.96
S2 0.2616 0.2616 0.7519  3 Nd 2.84-2.91, 2 Sm 2.86, 1 Ac 2.95
S3 0.4281 0.0844 0.2523  3 Nd 2.85-2.92, 2 Sm 2.87, 1 Ac 2.96
S4 0.5719 0.9156 0.7477  3 Nd 2.85-2.92, 2 Sm 2.87, 1 Ac 2.96
S5 0.7384 0.7384 0.2481  3 Nd 2.84-2.91, 2 Sm 2.86, 1 Ac 2.95
S6 0.9156 0.5719 0.7477  3 Nd 2.85-2.92, 2 Sm 2.87, 1 Ac 2.96

Results
Symmetry: C2/m (12)
Energy relative to the elements, uncorrected: -2012 meV per atom
Energy: -6.396 eV per atom